Record 1
The following is a GGA-PBE calculation of an optimized crystal structure of ErHgBr6, from Alexandria.

abc: 7.3311 8.2455 7.1160
angles: 60.76 60.34 53.74
Closest atoms and distances in Å follow each position.
Atoms (fractional coordinates):
Er1 0.5000 0.5000 0.5000  6 Br 2.71-2.88
Hg1 0.0000 0.0000 0.0000  2 Br 2.55
Br1 0.0930 0.4519 0.7842  1 Er 2.79, 1 Br 2.98
Br2 0.7636 0.0917 0.7636  1 Hg 2.55
Br3 0.5409 0.2716 0.2959  1 Er 2.71
Br4 0.2364 0.9083 0.2364  1 Hg 2.55
Br5 0.9070 0.5481 0.2158  1 Er 2.79, 1 Br 2.98
Br6 0.4591 0.7284 0.7041  1 Er 2.71

Calculated values
Space group: P-1 (2)
M_tot in μB/cell: 1.04
Energy relative to the elements, uncorrected in eV per atom: -0.945
DOS(E_F) in states/eV per atom: 0.08

Record 2
The following is a GGA-PBE calculation of an optimized crystal structure of Ag2Hg3Br8, from Alexandria.

abc: 7.1576 10.7366 8.4385
angles: 129.32 94.63 91.55
Closest atoms and distances in Å follow each position.
Atoms (fractional coordinates):
Ag1 0.9089 0.8112 0.6256  4 Br 2.70-2.76
Ag2 0.0911 0.1888 0.3744  4 Br 2.70-2.76
Hg1 0.5000 0.0000 0.0000  2 Br 2.51
Hg2 0.0008 0.3149 0.9963  4 Br 2.60-2.81
Hg3 0.9992 0.6851 0.0037  4 Br 2.60-2.81
Br1 0.1857 0.4057 0.7976  1 Ag 2.76, 2 Hg 2.79-2.81
Br2 0.8143 0.5943 0.2024  1 Ag 2.76, 2 Hg 2.79-2.81
Br3 0.2896 0.8185 0.6612  1 Hg 2.51, 1 Ag 2.71
Br4 0.7104 0.1815 0.3388  1 Hg 2.51, 1 Ag 2.71
Br5 0.2599 0.9249 0.2564  1 Hg 2.61, 1 Ag 2.70
Br6 0.2658 0.3236 0.2340  1 Hg 2.60, 1 Ag 2.72
Br7 0.7342 0.6764 0.7660  1 Hg 2.60, 1 Ag 2.72
Br8 0.7401 0.0751 0.7436  1 Hg 2.61, 1 Ag 2.70

Calculated values
Space group: P-1 (2)
M_tot in μB/cell: 0.00
Energy relative to the elements, uncorrected in eV per atom: -0.399
DOS(E_F) in states/eV per atom: 0.00

Record 3
The following is a GGA-PBE calculation of an optimized crystal structure of SrGaHg6, from Alexandria.

abc: 5.0884 6.1895 8.6290
angles: 63.73 71.00 61.60
Closest atoms and distances in Å follow each position.
Atoms (fractional coordinates):
Sr1 0.0000 0.5000 0.5000  12 Hg 3.34-3.63
Ga1 0.0000 0.0000 0.0000  6 Hg 2.98-3.14
Hg1 0.2574 0.8294 0.6422  7 Hg 3.23-3.61, 1 Ga 3.36, 2 Sr 3.44
Hg2 0.5272 0.1858 0.7755  2 Ga 3.05-3.14, 3 Hg 3.11-3.41
Hg3 0.2340 0.4191 0.1129  1 Ga 2.98, 5 Hg 3.08-3.23
Hg4 0.4728 0.8142 0.2245  2 Ga 3.05-3.14, 3 Hg 3.11-3.41
Hg5 0.7426 0.1706 0.3578  7 Hg 3.23-3.61, 1 Ga 3.36, 2 Sr 3.44
Hg6 0.7660 0.5809 0.8871  1 Ga 2.98, 5 Hg 3.08-3.23

Calculated values
ΔH_f (0 K) in eV per atom: -0.19
Space group: P-1 (2)
M_tot in μB/cell: 0.00
DOS(E_F) in states/eV per atom: 0.28

Record 4
The following is a GGA-PBE calculation of an optimized crystal structure of V3ReMoW, from Alexandria.

abc: 3.0798 6.8164 9.2233
angles: 115.58 90.00 90.00
Closest atoms and distances in Å follow each position.
Atoms (fractional coordinates):
V1 0.7500 0.8780 0.0412  4 V 2.61-2.69, 2 Mo 2.66, 2 W 2.69
V2 0.2500 0.1220 0.9588  4 V 2.61-2.69, 2 Mo 2.66, 2 W 2.69
V3 0.2500 0.6230 0.4590  4 V 2.62-2.67, 2 Re 2.64, 2 W 2.68
V4 0.7500 0.3770 0.5410  4 V 2.62-2.67, 2 Re 2.64, 2 W 2.68
V5 0.7500 0.3784 0.2088  2 W 2.63, 2 Mo 2.63, 4 V 2.67-2.69
V6 0.2500 0.6216 0.7912  2 W 2.63, 2 Mo 2.63, 4 V 2.67-2.69
Re1 0.2500 0.1282 0.6248  2 V 2.64, 2 Mo 2.68, 2 Re 2.69, 2 W 2.70
Re2 0.7500 0.8718 0.3752  2 V 2.64, 2 Mo 2.68, 2 Re 2.69, 2 W 2.70
Mo1 0.2500 0.6250 0.1246  4 V 2.63-2.66, 2 Mo 2.68, 2 Re 2.68
Mo2 0.7500 0.3750 0.8754  4 V 2.63-2.66, 2 Mo 2.68, 2 Re 2.68
W1 0.2500 0.1308 0.2912  6 V 2.63-2.69, 2 Re 2.70
W2 0.7500 0.8692 0.7088  6 V 2.63-2.69, 2 Re 2.70

Calculated values
ΔH_f (0 K) in eV per atom: -0.14
Space group: P2_1/m (11)
M_tot in μB/cell: 0.00
DOS(E_F) in states/eV per atom: 0.62

Record 5
The following is a GGA-PBE calculation of an optimized crystal structure of CsScPt2, from Alexandria.

abc: 5.0586 5.0586 5.0586
angles: 60.00 60.00 60.00
Closest atoms and distances in Å follow each position.
Atoms (fractional coordinates):
Cs1 0.5000 0.5000 0.5000  8 Pt 3.10
Sc1 0.0000 0.0000 0.0000  8 Pt 3.10
Pt1 0.2500 0.2500 0.2500  4 Sc 3.10, 4 Cs 3.10
Pt2 0.7500 0.7500 0.7500  4 Sc 3.10, 4 Cs 3.10

Calculated values
ΔH_f (0 K) in eV per atom: 0.08
Space group: Fm-3m (225)
Energy relative to the lowest polymorph listed for this composition in eV per atom: 0.270
M_tot in μB/cell: 0.00
DOS(E_F) in states/eV per atom: 0.06

Record 6
The following is a GGA-PBE calculation of an optimized crystal structure of Li7InPd2, from Alexandria.

abc: 4.7669 7.0437 7.0437
angles: 115.60 90.00 90.00
Closest atoms and distances in Å follow each position.
Atoms (fractional coordinates):
Li1 0.0000 0.6687 0.3313  2 Pd 2.43
Li2 0.0000 0.3313 0.6687  2 Pd 2.43
Li3 0.5000 0.0663 0.3130  2 Pd 2.47-2.53, 1 Li 2.76
Li4 0.5000 0.9337 0.6870  2 Pd 2.47-2.53, 1 Li 2.76
Li5 0.5000 0.3130 0.0663  2 Pd 2.47-2.53, 1 Li 2.76
Li6 0.5000 0.6870 0.9337  2 Pd 2.47-2.53, 1 Li 2.76
Li7 0.5000 0.5000 0.5000  2 Pd 2.47, 4 Li 2.76
In1 0.0000 0.0000 0.0000  8 Li 3.14
Pd1 0.5000 0.7071 0.2929  7 Li 2.43-2.53
Pd2 0.5000 0.2929 0.7071  7 Li 2.43-2.53

Calculated values
ΔH_f (0 K) in eV per atom: -0.05
Space group: Cmmm (65)
M_tot in μB/cell: 0.00
DOS(E_F) in states/eV per atom: 0.46

Record 7
The following is a GGA-PBE calculation of an optimized crystal structure of RbZnB2H8, from Alexandria.

abc: 5.0131 5.0131 7.0384
angles: 69.14 69.14 60.00
Closest atoms and distances in Å follow each position.
Atoms (fractional coordinates):
Rb1 0.5000 0.5000 0.5000  12 H 2.92-3.27
Zn1 0.0000 0.0000 0.0000  6 H 2.06
B1 0.2515 0.2515 0.2454  4 H 1.22-1.25
B2 0.7485 0.7485 0.7546  4 H 1.22-1.25
H1 0.1880 0.1880 0.4360  1 B 1.22
H2 0.5434 0.1416 0.1745  1 B 1.25
H3 0.8120 0.8120 0.5640  1 B 1.22
H4 0.1405 0.5434 0.1745  1 B 1.25
H5 0.8595 0.4566 0.8255  1 B 1.25
H6 0.1416 0.1405 0.1745  1 B 1.25
H7 0.8584 0.8595 0.8255  1 B 1.25
H8 0.4566 0.8584 0.8255  1 B 1.25

Calculated values
Space group: R-3m (166)
M_tot in μB/cell: 0.00
DOS(E_F) in states/eV per atom: 0.25
E in eV/atom: -3.638

Record 8
The following is a GGA-PBE calculation of an optimized crystal structure of TiInAu3, from Alexandria.

abc: 5.0896 5.0896 5.0896
angles: 90.00 90.00 90.00
Closest atoms and distances in Å follow each position.
Atoms (fractional coordinates):
Ti1 0.0000 0.0000 0.0000  6 Au 2.54
Au1 0.0000 0.5000 0.0000  2 Ti 2.54
Au2 0.0000 0.0000 0.5000  2 Ti 2.54
Au3 0.5000 0.0000 0.0000  2 Ti 2.54
In1 0.5000 0.5000 0.5000  12 Au 3.60

Calculated values
ΔH_f (0 K) in eV per atom: 0.41
Space group: Pm-3m (221)
M_tot in μB/cell: 1.21
DOS(E_F) in states/eV per atom: 0.60

Record 9
The following is a GGA-PBE calculation of an optimized crystal structure of CaCd4W, from Alexandria.

abc: 5.7190 5.7190 5.7190
angles: 60.00 60.00 60.00
Closest atoms and distances in Å follow each position.
Atoms (fractional coordinates):
Ca1 0.0000 0.0000 0.0000  12 Cd 3.35, 4 W 3.50
Cd1 0.8727 0.3758 0.3758  6 Cd 2.84-2.88
Cd2 0.3758 0.3758 0.8727  6 Cd 2.84-2.88
Cd3 0.3758 0.8727 0.3758  6 Cd 2.84-2.88
Cd4 0.3758 0.3758 0.3758  6 Cd 2.84-2.88
W1 0.7500 0.7500 0.7500  12 Cd 3.35, 4 Ca 3.50

Calculated values
ΔH_f (0 K) in eV per atom: 0.43
Space group: F-43m (216)
M_tot in μB/cell: 3.16
DOS(E_F) in states/eV per atom: 0.54

Record 10
The following is a GGA-PBE calculation of an optimized crystal structure of Tm4TlHg3, from Alexandria.

abc: 3.7637 4.7932 11.5230
angles: 90.00 90.00 90.00
Closest atoms and distances in Å follow each position.
Atoms (fractional coordinates):
Tm1 0.5000 0.5000 0.3602  6 Hg 3.11-3.22, 1 Tl 3.15
Tm2 0.0000 0.5000 0.8485  5 Hg 3.01-3.13, 2 Tl 3.33
Tm3 0.0000 0.0000 0.1512  3 Hg 3.02-3.37, 4 Tl 3.14
Tm4 0.5000 0.0000 0.6436  7 Hg 3.06-3.25
Tl1 0.5000 0.5000 0.0868  7 Tm 3.14-3.33, 2 Hg 3.15
Hg1 0.0000 0.5000 0.5874  7 Tm 3.01-3.22, 2 Hg 3.12
Hg2 0.0000 0.0000 0.4134  7 Tm 3.02-3.25, 2 Hg 3.12
Hg3 0.5000 0.0000 0.9090  7 Tm 3.06-3.37, 2 Tl 3.15

Calculated values
ΔH_f (0 K) in eV per atom: -0.40
Space group: Pmm2 (25)
Energy relative to the lowest polymorph listed for this composition in eV per atom: 0.034
M_tot in μB/cell: 0.00
DOS(E_F) in states/eV per atom: 0.69

Record 11
The following is a GGA-PBE calculation of an optimized crystal structure of LaNdHoEr2, from Alexandria.

abc: 7.2123 8.4462 7.1530
angles: 126.19 90.00 90.00
Closest atoms and distances in Å follow each position.
Atoms (fractional coordinates):
La1 0.2500 0.7346 0.4691  1 Nd 3.06
La2 0.7500 0.2654 0.5309  1 Nd 3.06
Nd1 0.2500 0.9999 0.9998  1 La 3.06, 4 Er 3.20, 1 Ho 3.27
Nd2 0.7500 0.0001 0.0002  1 La 3.06, 4 Er 3.20, 1 Ho 3.27
Ho1 0.7500 0.7167 0.4335  1 Nd 3.27, 4 Er 3.46, 2 La 3.61
Ho2 0.2500 0.2833 0.5665  1 Nd 3.27, 4 Er 3.46, 2 La 3.61
Er1 0.5000 0.3133 0.0000  1 Er 3.15, 2 Nd 3.20, 2 Ho 3.46
Er2 0.0000 0.6867 0.0000  1 Er 3.15, 2 Nd 3.20, 2 Ho 3.46
Er3 0.5000 0.6867 0.0000  1 Er 3.15, 2 Nd 3.20, 2 Ho 3.46
Er4 0.0000 0.3133 0.0000  1 Er 3.15, 2 Nd 3.20, 2 Ho 3.46

Calculated values
ΔH_f (0 K) in eV per atom: 0.36
Space group: Cmcm (63)
M_tot in μB/cell: 0.00
DOS(E_F) in states/eV per atom: 1.64

Record 12
The following is a GGA-PBE calculation of an optimized crystal structure of NaCd, from Alexandria.

abc: 3.3299 3.3299 4.7205
angles: 90.00 90.00 90.00
Closest atoms and distances in Å follow each position.
Atoms (fractional coordinates):
Na1 0.5000 0.5000 0.5000  4 Na 3.33, 8 Cd 3.33
Cd1 0.0000 0.0000 0.0000  4 Cd 3.33, 8 Na 3.33

Calculated values
ΔH_f (0 K) in eV per atom: -0.08
Space group: P4/mmm (123)
M_tot in μB/cell: 0.00
DOS(E_F) in states/eV per atom: 0.27